No. 1
CsNa2Sn2Sb2: optimized geometry, GGA-PBE.

a b c (Å): 9.332 5.390 10.449
angles (deg): 90.00 107.38 90.00
Space group C2/m (No. 12)
Asymmetric unit:
Cs1 0.000 0.000 0.000 (multiplicity 2)
Na1 0.138 0.000 0.416 (multiplicity 4)
Sn1 0.058 0.500 0.672 (multiplicity 4)
Sb1 0.242 0.000 0.724 (multiplicity 4)

Its uncorrected formation energy is -261 meV/atom. Its crystal system is monoclinic.

No. 2
Cs2NaSrSb: optimized geometry, GGA-PBE.

a b c (Å): 6.431 6.431 6.746
angles (deg): 90.00 90.00 90.00
Space group P4/mmm (No. 123)
Asymmetric unit:
Cs1 0.000 0.500 0.000 (multiplicity 2)
Na1 0.000 0.000 0.000 (multiplicity 1)
Sr1 0.000 0.000 0.500 (multiplicity 1)
Sb1 0.500 0.500 0.500 (multiplicity 1)

Its uncorrected formation energy is 275 meV/atom. Its crystal system is tetragonal.

No. 3
CsNa2Sr2Sb2: optimized geometry, GGA-PBE.

a b c (Å): 5.4735 5.4735 33.1311
angles (deg): 90.00 90.00 120.00
Space group R-3m (No. 166, hexagonal axes)
Asymmetric unit:
Cs1 0.0000 0.0000 0.0000 (multiplicity 3)
Na1 0.0000 0.0000 0.4176 (multiplicity 6)
Sr1 0.0000 0.0000 0.1332 (multiplicity 6)
Sb1 0.0000 0.0000 0.2400 (multiplicity 6)

Its uncorrected formation energy is -592 meV/atom. Its crystal system is trigonal.

No. 4
CsNaSb2Te: optimized geometry, GGA-PBE.

a b c (Å): 5.661 5.661 5.869
angles (deg): 90.00 90.00 90.00
Space group P4/mmm (No. 123)
Asymmetric unit:
Cs1 0.000 0.000 0.000 (multiplicity 1)
Na1 0.500 0.500 0.500 (multiplicity 1)
Sb1 0.000 0.500 0.500 (multiplicity 2)
Te1 0.500 0.500 0.000 (multiplicity 1)

Its uncorrected formation energy is 156 meV/atom. Its crystal system is tetragonal. The energy above the most stable polymorph in this dataset is 0 meV/atom.

No. 5
CsNaSbTe2: optimized geometry, GGA-PBE.

a b c (Å): 6.677 6.677 6.436
angles (deg): 90.00 90.00 90.00
Space group P4/mmm (No. 123)
Asymmetric unit:
Cs1 0.000 0.000 0.000 (multiplicity 1)
Na1 0.500 0.500 0.500 (multiplicity 1)
Sb1 0.000 0.000 0.500 (multiplicity 1)
Te1 0.000 0.500 0.000 (multiplicity 2)

Its uncorrected formation energy is 673 meV/atom. Its crystal system is tetragonal. The energy above the most stable polymorph in this dataset is 1163 meV/atom.

No. 6
Cs2NaSbTe: optimized geometry, GGA-PBE.

a b c (Å): 7.134 7.134 5.381
angles (deg): 90.00 90.00 90.00
Space group P4/mmm (No. 123)
Asymmetric unit:
Cs1 0.000 0.500 0.000 (multiplicity 2)
Na1 0.000 0.000 0.000 (multiplicity 1)
Sb1 0.500 0.500 0.500 (multiplicity 1)
Te1 0.000 0.000 0.500 (multiplicity 1)

Its uncorrected formation energy is -197 meV/atom. Its crystal system is tetragonal.

Question: The lowest uncorrected formation energy belongs to which entry?
Answer: CsNa2Sr2Sb2